1.
This record from Alexandria describes an optimized crystal structure of KNa2H. The functional is PBE.

Properties
Relative energy among the computed polymorphs ... 384 meV per atom

Cell lengths 5.732, 5.732, 5.732 Å; angles 60.00, 60.00, 60.00 degrees
Fractional positions:
1 Na 0.250 0.250 0.250
2 Na 0.750 0.750 0.750
3 K 0.500 0.500 0.500
4 H 0.000 0.000 0.000

***

2.
This record from Alexandria describes an optimized crystal structure of K2ZrW. The functional is PBE.

Properties
Relative energy among the computed polymorphs ... 11 meV per atom
ΔH_f (0 K) ... 0.85 eV/atom

Cell lengths 11.134, 11.134, 4.392 Å; angles 78.38, 78.38, 16.51 degrees
Fractional positions:
1 Zr 0.250 0.250 0.250
2 K 0.099 0.099 0.904
3 K 0.401 0.401 0.596
4 W 0.750 0.750 0.750

***

3.
This record from Alexandria describes an optimized crystal structure of KPrBiAu. The functional is PBE.

Properties
ΔH_f (0 K) ... -0.51 eV/atom

Cell lengths 5.568, 5.568, 5.568 Å; angles 60.00, 60.00, 60.00 degrees
Fractional positions:
1 Au 0.000 0.000 0.000
2 Bi 0.500 0.500 0.500
3 Pr 0.750 0.750 0.750
4 K 0.250 0.250 0.250

***

4.
This record from Alexandria describes an optimized crystal structure of Ce4SnSb5. The functional is PBE.

Properties
Energy relative to the elements, uncorrected ... -0.775 eV per atom
Relative energy among the computed polymorphs ... 0 meV per atom

Cell lengths 4.408, 8.562, 8.562 Å; angles 80.27, 75.08, 75.08 degrees
Fractional positions:
1 Sb 0.586 0.985 0.342
2 Sb 0.586 0.342 0.985
3 Sb 0.914 0.658 0.015
4 Sb 0.914 0.015 0.658
5 Sb 0.750 0.500 0.500
6 Ce 0.250 0.290 0.710
7 Ce 0.997 0.253 0.253
8 Ce 0.503 0.747 0.747
9 Ce 0.250 0.710 0.290
10 Sn 0.250 0.000 0.000

***

5.
This record from Alexandria describes an optimized crystal structure of CoIrAu4. The functional is PBE.

Properties
ΔH_f (0 K) ... 0.77 eV/atom

Cell lengths 5.360, 5.360, 5.360 Å; angles 60.00, 60.00, 60.00 degrees
Fractional positions:
1 Co 0.750 0.750 0.750
2 Au 0.875 0.375 0.375
3 Au 0.375 0.375 0.875
4 Au 0.375 0.375 0.375
5 Au 0.375 0.875 0.375
6 Ir 0.000 0.000 0.000

***

6.
This record from Alexandria describes an optimized crystal structure of SrTa4W. The functional is PBE.

Properties
ΔH_f (0 K) ... 0.80 eV/atom

Cell lengths 5.583, 5.583, 5.583 Å; angles 60.00, 60.00, 60.00 degrees
Fractional positions:
1 Ta 0.375 0.375 0.875
2 Ta 0.875 0.375 0.375
3 Ta 0.375 0.375 0.375
4 Ta 0.375 0.875 0.375
5 W 0.750 0.750 0.750
6 Sr 0.000 0.000 0.000

***

7.
This record from Alexandria describes an optimized crystal structure of Ac5Tb12Sm3. The functional is PBE.

Properties
ΔH_f (0 K) ... 0.99 eV/atom

Cell lengths 16.874, 16.874, 16.874 Å; angles 109.47, 109.47, 109.47 degrees
Fractional positions:
1 Tb 0.914 0.061 0.647
2 Tb 0.087 0.647 0.733
3 Tb 0.061 0.914 0.147
4 Tb 0.646 0.233 0.586
5 Tb 0.414 0.267 0.354
6 Tb 0.586 0.853 0.439
7 Tb 0.853 0.586 0.939
8 Tb 0.733 0.586 0.146
9 Tb 0.147 0.414 0.061
10 Tb 0.353 0.439 0.086
11 Tb 0.439 0.087 0.354
12 Tb 0.086 0.939 0.353
13 Tb 0.586 0.733 0.646
14 Tb 0.647 0.561 0.914
15 Tb 0.561 0.913 0.646
16 Tb 0.913 0.353 0.267
17 Tb 0.413 0.767 0.853
18 Tb 0.267 0.414 0.854
19 Tb 0.913 0.561 0.146
20 Tb 0.587 0.233 0.147
21 Tb 0.353 0.913 0.767
22 Tb 0.914 0.854 0.767
23 Tb 0.086 0.146 0.233
24 Tb 0.354 0.587 0.439
25 Tb 0.146 0.086 0.733
26 Tb 0.854 0.939 0.087
27 Tb 0.647 0.087 0.233
28 Tb 0.146 0.061 0.913
29 Tb 0.854 0.914 0.267
30 Tb 0.087 0.439 0.854
31 Tb 0.233 0.587 0.647
32 Tb 0.354 0.767 0.414
33 Tb 0.853 0.267 0.413
34 Tb 0.767 0.354 0.914
35 Tb 0.147 0.733 0.587
36 Tb 0.939 0.854 0.587
37 Tb 0.561 0.647 0.414
38 Tb 0.733 0.147 0.087
39 Tb 0.414 0.147 0.561
40 Tb 0.646 0.413 0.561
41 Tb 0.439 0.353 0.586
42 Tb 0.939 0.086 0.853
43 Tb 0.233 0.646 0.086
44 Tb 0.767 0.413 0.353
45 Tb 0.413 0.646 0.061
46 Tb 0.587 0.354 0.939
47 Tb 0.267 0.853 0.913
48 Tb 0.061 0.146 0.413
49 Sm 0.375 0.750 0.625
50 Sm 0.875 0.125 0.250
51 Sm 0.125 0.250 0.875
52 Sm 0.625 0.375 0.750
53 Sm 0.250 0.625 0.875
54 Sm 0.875 0.750 0.125
55 Sm 0.750 0.875 0.625
56 Sm 0.625 0.250 0.375
57 Sm 0.750 0.375 0.125
58 Sm 0.125 0.875 0.750
59 Sm 0.250 0.125 0.375
60 Sm 0.375 0.625 0.250
61 Ac 0.125 0.375 0.250
62 Ac 0.250 0.875 0.125
63 Ac 0.625 0.750 0.875
64 Ac 0.500 0.500 0.000
65 Ac 0.000 0.500 0.500
66 Ac 0.500 0.000 0.500
67 Ac 0.375 0.125 0.750
68 Ac 0.000 0.500 0.000
69 Ac 0.250 0.375 0.625
70 Ac 0.750 0.625 0.375
71 Ac 0.750 0.125 0.875
72 Ac 0.000 0.000 0.500
73 Ac 0.625 0.875 0.250
74 Ac 0.875 0.625 0.750
75 Ac 0.500 0.000 0.000
76 Ac 0.875 0.250 0.625
77 Ac 0.500 0.500 0.500
78 Ac 0.000 0.000 0.000
79 Ac 0.125 0.750 0.375
80 Ac 0.375 0.250 0.125

***

8.
This record from Alexandria describes an optimized crystal structure of RbLiS. The functional is PBE.

Properties
Energy relative to the elements, uncorrected ... -1.158 eV per atom

Cell lengths 8.027, 7.974, 6.452 Å; angles 128.33, 90.00, 90.00 degrees
Fractional positions:
1 Li 0.374 0.124 0.001
2 Li 0.126 0.624 0.001
3 Li 0.626 0.876 0.999
4 Li 0.874 0.376 0.999
5 Rb 0.999 0.183 0.364
6 Rb 0.001 0.817 0.636
7 Rb 0.499 0.317 0.636
8 Rb 0.501 0.683 0.364
9 S 0.834 0.671 0.999
10 S 0.334 0.829 0.001
11 S 0.666 0.171 0.999
12 S 0.166 0.329 0.001

***

9.
This record from Alexandria describes an optimized crystal structure of BeNiTe. The functional is PBE.

Properties
Energy relative to the elements, uncorrected ... -0.151 eV per atom

Cell lengths 3.580, 3.963, 8.451 Å; angles 100.16, 77.70, 116.79 degrees
Fractional positions:
1 Be 0.312 0.787 0.623
2 Be 0.646 0.598 0.765
3 Ni 0.974 0.165 0.677
4 Ni 0.712 0.462 0.499
5 Te 0.461 0.793 0.331
6 Te 0.306 0.072 0.922

***

10.
This record from Alexandria describes an optimized crystal structure of Cs2TiAlTe4. The functional is PBE.

Properties
Energy relative to the elements, uncorrected ... -0.827 eV per atom

Cell lengths 6.597, 8.385, 14.175 Å; angles 84.75, 76.54, 66.84 degrees
Fractional positions:
1 Al 0.250 0.500 0.500
2 Al 0.500 0.000 0.000
3 Ti 0.750 0.500 0.500
4 Ti 0.000 0.000 0.000
5 Cs 0.570 0.500 0.859
6 Cs 0.930 0.500 0.141
7 Cs 0.180 0.000 0.641
8 Cs 0.820 0.000 0.359
9 Te 0.594 0.194 0.107
10 Te 0.212 0.194 0.893
11 Te 0.451 0.694 0.393
12 Te 0.156 0.306 0.393
13 Te 0.855 0.694 0.607
14 Te 0.538 0.306 0.607
15 Te 0.299 0.806 0.107
16 Te 0.895 0.806 0.893

***

11.
This record from Alexandria describes an optimized crystal structure of YHf2TcRh. The functional is PBE.

Properties
ΔH_f (0 K) ... 1.89 eV/atom

Cell lengths 5.078, 4.534, 5.078 Å; angles 90.00, 90.00, 90.00 degrees
Fractional positions:
1 Hf 0.500 0.000 0.000
2 Hf 0.000 0.000 0.500
3 Rh 0.500 0.500 0.500
4 Tc 0.000 0.500 0.000
5 Y 0.000 0.000 0.000

***

12.
This record from Alexandria describes an optimized crystal structure of Y2SiCl. The functional is PBE.

Properties
Energy relative to the elements, uncorrected ... -0.545 eV per atom
Relative energy among the computed polymorphs ... 597 meV per atom

Cell lengths 3.591, 3.591, 7.913 Å; angles 90.00, 90.00, 90.00 degrees
Fractional positions:
1 Y 0.000 0.000 0.950
2 Y 0.500 0.500 0.338
3 Si 0.500 0.500 0.748
4 Cl 0.000 0.000 0.464

***

Total magnetic moment, respectively: 0.00, 0.51, 0.00, 3.29, 2.93, 0.00, 0.00, 0.00, 0.00, 1.00, 0.00, 0.00 μB per formula unit.